Crystalline KCrAu3 at its relaxed geometry, computed with PBEsol.

## Properties
Total magnetic moment in μB/f.u.: 4.0
Formation energy in eV/atom: 0.44

a b c (Å): 5.006 5.006 5.006
angles (deg): 90.00 90.00 90.00
Positions (direct):
Cr  0.000  0.000  0.000
K  0.500  0.500  0.500
Au  0.000  0.500  0.000
Au  0.000  0.000  0.500
Au  0.500  0.000  0.000



Crystalline KCrSi2Au at its relaxed geometry, computed with PBEsol.

## Properties
Total magnetic moment in μB/f.u.: 4.5
Total energy in eV/atom: -4.3274

a b c (Å): 4.790 4.790 5.568
angles (deg): 90.00 90.00 90.00
Positions (direct):
Cr  0.500  0.500  0.500
K  0.000  0.000  0.500
Au  0.000  0.000  0.000
Si  0.000  0.500  0.000
Si  0.500  0.000  0.000



Crystalline LaCrAu at its relaxed geometry, computed with PBEsol.

## Properties
Total magnetic moment in μB/f.u.: 4.1
Formation energy in eV/atom: 0.09

a b c (Å): 3.486 3.724 5.710
angles (deg): 109.03 107.77 90.00
Positions (direct):
Au  0.026  0.026  0.051
Cr  0.639  0.639  0.278
La  0.336  0.336  0.671